Entry 1
# In2CuMo PBE-GGA optimized geometry
# D(E_F) (states/eV/f.u.): 2.63
# Size of the total moment (μB/atom): 0.0000
data_In2CuMo
_chemical_formula_sum 'In2 Cu1 Mo1'
_space_group_name_H-M_alt 'P m m 2'
_space_group_IT_number 25
_cell_length_a 2.9936
_cell_length_b 4.7899
_cell_length_c 5.0665
_cell_angle_alpha 90.00
_cell_angle_beta 90.00
_cell_angle_gamma 90.00
loop_
_space_group_symop_operation_xyz
'x,y,z'
'-x,-y,z'
'-x,y,z'
'x,-y,z'
loop_
_atom_site_label
_atom_site_type_symbol
_atom_site_fract_x
_atom_site_fract_y
_atom_site_fract_z
In1 In 0.0000 0.0000 0.0000
In2 In 0.0000 0.5000 0.4031
Cu1 Cu 0.5000 0.0000 0.5410
Mo1 Mo 0.5000 0.5000 0.8870

Entry 2
# In2CuMo PBE-GGA optimized geometry
# D(E_F) (states/eV/f.u.): 5.08
# Size of the total moment (μB/atom): 0.0011
data_In2CuMo
_chemical_formula_sum 'In4 Cu2 Mo2'
_space_group_name_H-M_alt 'I 4/m m m'
_space_group_IT_number 139
_space_group_name_Hall '-I 4 2'
_cell_length_a 4.0774
_cell_length_b 4.0774
_cell_length_c 8.6378
_cell_angle_alpha 90.00
_cell_angle_beta 90.00
_cell_angle_gamma 90.00
loop_
_atom_site_label
_atom_site_type_symbol
_atom_site_fract_x
_atom_site_fract_y
_atom_site_fract_z
In1 In 0.0000 0.5000 0.2500
Cu1 Cu 0.0000 0.0000 0.0000
Mo1 Mo 0.0000 0.0000 0.5000

Entry 3
# In2CuMo PBE-GGA optimized geometry
# D(E_F) (states/eV/f.u.): 3.08
# Size of the total moment (μB/atom): 0.1479
data_In2CuMo
_chemical_formula_sum 'In4 Cu2 Mo2'
_space_group_name_H-M_alt 'I -4 m 2'
_space_group_IT_number 119
_space_group_name_Hall 'I -4 -2'
_cell_length_a 3.9343
_cell_length_b 3.9343
_cell_length_c 9.3616
_cell_angle_alpha 90.00
_cell_angle_beta 90.00
_cell_angle_gamma 90.00
loop_
_atom_site_label
_atom_site_type_symbol
_atom_site_fract_x
_atom_site_fract_y
_atom_site_fract_z
In1 In 0.0000 0.0000 0.0000
In2 In 0.0000 0.5000 0.2500
Cu1 Cu 0.0000 0.0000 0.5000
Mo1 Mo 0.0000 0.5000 0.7500

Entry 4
# In2CuMo PBE-GGA optimized geometry
# D(E_F) (states/eV/f.u.): 2.53
# Size of the total moment (μB/atom): 0.0000
data_In2CuMo
_chemical_formula_sum 'In4 Cu2 Mo2'
_space_group_name_H-M_alt 'C m m m'
_space_group_IT_number 65
_space_group_name_Hall '-C 2 2'
_cell_length_a 6.0151
_cell_length_b 8.0314
_cell_length_c 2.9767
_cell_angle_alpha 90.00
_cell_angle_beta 90.00
_cell_angle_gamma 90.00
loop_
_atom_site_label
_atom_site_type_symbol
_atom_site_fract_x
_atom_site_fract_y
_atom_site_fract_z
In1 In 0.2500 0.2500 0.0000
Cu1 Cu 0.0000 0.0000 0.5000
Mo1 Mo 0.0000 0.5000 0.5000

Which is the most stable structure? entry 4 is the most stable.

Entry 1
# In2CuMo PBE-GGA optimized geometry
# D(E_F) (states/eV/f.u.): 2.65
# Size of the total moment (μB/atom): 0.0000
data_In2CuMo
_chemical_formula_sum 'In2 Cu1 Mo1'
_space_group_name_H-M_alt 'P 4 m m'
_space_group_IT_number 99
_cell_length_a 2.9219
_cell_length_b 2.9219
_cell_length_c 8.8839
_cell_angle_alpha 90.00
_cell_angle_beta 90.00
_cell_angle_gamma 90.00
loop_
_space_group_symop_operation_xyz
'x,y,z'
'-y,x,z'
'-x,-y,z'
'y,-x,z'
'-x,y,z'
'y,x,z'
'x,-y,z'
'-y,-x,z'
loop_
_atom_site_label
_atom_site_type_symbol
_atom_site_fract_x
_atom_site_fract_y
_atom_site_fract_z
In1 In 0.0000 0.0000 0.0000
In2 In 0.5000 0.5000 0.3296
Cu1 Cu 0.5000 0.5000 0.7699
Mo1 Mo 0.0000 0.0000 0.5758

Entry 2
# In2CuMo PBE-GGA optimized geometry
# D(E_F) (states/eV/f.u.): 2.06
# Size of the total moment (μB/atom): 0.0000
data_In2CuMo
_chemical_formula_sum 'In4 Cu2 Mo2'
_space_group_name_H-M_alt 'C m m m'
_space_group_IT_number 65
_space_group_name_Hall '-C 2 2'
_cell_length_a 3.4896
_cell_length_b 4.7920
_cell_length_c 8.7221
_cell_angle_alpha 90.00
_cell_angle_beta 90.00
_cell_angle_gamma 90.00
loop_
_atom_site_label
_atom_site_type_symbol
_atom_site_fract_x
_atom_site_fract_y
_atom_site_fract_z
In1 In 0.0000 0.0000 0.2404
Cu1 Cu 0.0000 0.5000 0.0000
Mo1 Mo 0.0000 0.5000 0.5000

Which is the most stable structure? entry 1 is the most stable.

Entry 1
# In2CuMo PBE-GGA optimized geometry
# D(E_F) (states/eV/f.u.): 3.80
# Size of the total moment (μB/atom): 0.2362
data_In2CuMo
_chemical_formula_sum 'In8 Cu4 Mo4'
_space_group_name_H-M_alt 'F m -3 m'
_space_group_IT_number 225
_space_group_name_Hall '-F 4 2 3'
_cell_length_a 6.6243
_cell_length_b 6.6243
_cell_length_c 6.6243
_cell_angle_alpha 90.00
_cell_angle_beta 90.00
_cell_angle_gamma 90.00
loop_
_atom_site_label
_atom_site_type_symbol
_atom_site_fract_x
_atom_site_fract_y
_atom_site_fract_z
In1 In 0.2500 0.2500 0.2500
Cu1 Cu 0.0000 0.0000 0.0000
Mo1 Mo 0.0000 0.0000 0.5000

Entry 2
# In2CuMo PBE-GGA optimized geometry
# D(E_F) (states/eV/f.u.): 2.90
# Size of the total moment (μB/atom): 0.5683
data_In2CuMo
_chemical_formula_sum 'In8 Cu4 Mo4'
_space_group_name_H-M_alt 'F -4 3 m'
_space_group_IT_number 216
_space_group_name_Hall 'F -4 2 3'
_cell_length_a 6.6825
_cell_length_b 6.6825
_cell_length_c 6.6825
_cell_angle_alpha 90.00
_cell_angle_beta 90.00
_cell_angle_gamma 90.00
loop_
_atom_site_label
_atom_site_type_symbol
_atom_site_fract_x
_atom_site_fract_y
_atom_site_fract_z
In1 In 0.0000 0.0000 0.0000
In2 In 0.2500 0.2500 0.2500
Cu1 Cu 0.0000 0.0000 0.5000
Mo1 Mo 0.2500 0.2500 0.7500

Which is the most stable structure? entry 1 is the most stable.

Entry 1
# In2CuMo PBE-GGA optimized geometry
# D(E_F) (states/eV/f.u.): 3.74
# Size of the total moment (μB/atom): 0.0003
data_In2CuMo
_chemical_formula_sum 'In2 Cu1 Mo1'
_space_group_name_H-M_alt 'P 1 2/m 1'
_space_group_IT_number 10
_cell_length_a 2.9218
_cell_length_b 4.3754
_cell_length_c 5.7921
_cell_angle_alpha 90.00
_cell_angle_beta 96.34
_cell_angle_gamma 90.00
loop_
_space_group_symop_operation_xyz
'x,y,z'
'-x,-y,-z'
'-x,y,-z'
'x,-y,z'
loop_
_atom_site_label
_atom_site_type_symbol
_atom_site_fract_x
_atom_site_fract_y
_atom_site_fract_z
In1 In 0.0781 0.0000 0.2474
Cu1 Cu 0.0000 0.5000 0.5000
Mo1 Mo 0.5000 0.5000 0.0000

Entry 2
# In2CuMo PBE-GGA optimized geometry
# D(E_F) (states/eV/f.u.): 3.38
# Size of the total moment (μB/atom): 0.0482
data_In2CuMo
_chemical_formula_sum 'In2 Cu1 Mo1'
_space_group_name_H-M_alt 'P 4/m m m'
_space_group_IT_number 123
_space_group_name_Hall '-P 4 2'
_cell_length_a 2.9425
_cell_length_b 2.9425
_cell_length_c 8.2748
_cell_angle_alpha 90.00
_cell_angle_beta 90.00
_cell_angle_gamma 90.00
loop_
_atom_site_label
_atom_site_type_symbol
_atom_site_fract_x
_atom_site_fract_y
_atom_site_fract_z
In1 In 0.0000 0.0000 0.2399
Cu1 Cu 0.5000 0.5000 0.0000
Mo1 Mo 0.5000 0.5000 0.5000

Entry 3
# In2CuMo PBE-GGA optimized geometry
# D(E_F) (states/eV/f.u.): 2.78
# Size of the total moment (μB/atom): 0.0277
data_In2CuMo
_chemical_formula_sum 'In6 Cu3 Mo3'
_space_group_name_H-M_alt 'R -3 m'
_space_group_IT_number 166
_space_group_name_Hall '-R 3 2"'
_cell_length_a 3.0445
_cell_length_b 3.0445
_cell_length_c 27.3815
_cell_angle_alpha 90.00
_cell_angle_beta 90.00
_cell_angle_gamma 120.00
loop_
_atom_site_label
_atom_site_type_symbol
_atom_site_fract_x
_atom_site_fract_y
_atom_site_fract_z
In1 In 0.0000 0.0000 0.2468
Cu1 Cu 0.0000 0.0000 0.5000
Mo1 Mo 0.0000 0.0000 0.0000

Which is the most stable structure? entry 2 is the most stable.

Entry 1
# InCuMo3 PBE-GGA optimized geometry
# D(E_F) (states/eV/f.u.): 10.81
# Size of the total moment (μB/atom): 0.0000
data_InCuMo3
_chemical_formula_sum 'In1 Cu1 Mo3'
_space_group_name_H-M_alt 'P m -3 m'
_space_group_IT_number 221
_space_group_name_Hall '-P 4 2 3'
_cell_length_a 4.5561
_cell_length_b 4.5561
_cell_length_c 4.5561
_cell_angle_alpha 90.00
_cell_angle_beta 90.00
_cell_angle_gamma 90.00
loop_
_atom_site_label
_atom_site_type_symbol
_atom_site_fract_x
_atom_site_fract_y
_atom_site_fract_z
In1 In 0.0000 0.0000 0.0000
Cu1 Cu 0.5000 0.5000 0.5000
Mo1 Mo 0.0000 0.5000 0.5000

Entry 2
# InCuMo3 PBE-GGA optimized geometry
# D(E_F) (states/eV/f.u.): 8.81
# Size of the total moment (μB/atom): 0.0000
data_InCuMo3
_chemical_formula_sum 'In1 Cu1 Mo3'
_space_group_name_H-M_alt 'P m -3 m'
_space_group_IT_number 221
_space_group_name_Hall '-P 4 2 3'
_cell_length_a 4.8793
_cell_length_b 4.8793
_cell_length_c 4.8793
_cell_angle_alpha 90.00
_cell_angle_beta 90.00
_cell_angle_gamma 90.00
loop_
_atom_site_label
_atom_site_type_symbol
_atom_site_fract_x
_atom_site_fract_y
_atom_site_fract_z
In1 In 0.0000 0.0000 0.0000
Cu1 Cu 0.5000 0.5000 0.5000
Mo1 Mo 0.0000 0.0000 0.5000

Which is the most stable structure? entry 1 is the most stable.

Entry 1
# InCu2N PBE-GGA optimized geometry
# D(E_F) (states/eV/f.u.): 0.00
# Size of the total moment (μB/atom): 0.0000
data_InCu2N
_chemical_formula_sum 'In4 Cu8 N4'
_space_group_name_H-M_alt 'I -4 2 d'
_space_group_IT_number 122
_space_group_name_Hall 'I -4 2bw'
_cell_length_a 5.1238
_cell_length_b 5.1238
_cell_length_c 10.5139
_cell_angle_alpha 90.00
_cell_angle_beta 90.00
_cell_angle_gamma 90.00
loop_
_atom_site_label
_atom_site_type_symbol
_atom_site_fract_x
_atom_site_fract_y
_atom_site_fract_z
In1 In 0.0000 0.0000 0.0000
Cu1 Cu 0.0519 0.2500 0.6250
N1 N 0.0000 0.0000 0.5000

Entry 2
# InCu2N PBE-GGA optimized geometry
# D(E_F) (states/eV/f.u.): 0.36
# Size of the total moment (μB/atom): 0.0000
data_InCu2N
_chemical_formula_sum 'In4 Cu8 N4'
_space_group_name_H-M_alt 'F m -3 m'
_space_group_IT_number 225
_space_group_name_Hall '-F 4 2 3'
_cell_length_a 5.9877
_cell_length_b 5.9877
_cell_length_c 5.9877
_cell_angle_alpha 90.00
_cell_angle_beta 90.00
_cell_angle_gamma 90.00
loop_
_atom_site_label
_atom_site_type_symbol
_atom_site_fract_x
_atom_site_fract_y
_atom_site_fract_z
In1 In 0.0000 0.0000 0.0000
Cu1 Cu 0.2500 0.2500 0.2500
N1 N 0.0000 0.0000 0.5000

Which is the most stable structure? entry 1 is the most stable.